First-principles (GGA+U) data for a relaxed structure of CoAgRu2O, as listed in Alexandria via LeMat-Bulk.

The value obtained for the final energy is -22.22 eV per cell.

It has space group P4/mmm (No. 123), with a = 4.4733 Å, b = 4.4733 Å, c = 4.7337 Å, α = 90.00°, β = 90.00° and γ = 90.00°. Symmetry generates all atoms from Co at (0.0000, 0.0000, 0.0000), Ag at (0.0000, 0.0000, 0.5000), Ru at (0.0000, 0.5000, 0.0000) and O at (0.5000, 0.5000, 0.5000).